A plane-wave DFT calculation with PBE was carried out for LaCe2Zn2Sn2 after structural relaxation.

a = 10.1151 Å, b = 10.1151 Å, c = 10.1151 Å
α = 26.06°, β = 26.06°, γ = 26.06°
Last column: nearest neighbours and their distance in Å.
Sites, in units of the cell vectors:
La 0.0000 0.0000 0.0000  6 Sn 3.31, 6 Zn 3.69
Ce 0.1441 0.1441 0.1441  3 Ce 2.95, 3 Zn 3.10
Ce 0.8559 0.8559 0.8559  3 Ce 2.95, 3 Zn 3.10
Zn 0.4216 0.4216 0.4216  3 Sn 2.70
Zn 0.5784 0.5784 0.5784  3 Sn 2.70
Sn 0.2647 0.2647 0.2647  3 Zn 2.70
Sn 0.7353 0.7353 0.7353  3 Zn 2.70

## Properties
As for the energy of formation from the pure elements: -387 meV/atom.

=====

A plane-wave DFT calculation with PBE was carried out for La3Ga4Rh4 after structural relaxation.

a = 4.1786 Å, b = 4.4083 Å, c = 12.8850 Å
α = 95.04°, β = 99.27°, γ = 90.16°
Last column: nearest neighbours and their distance in Å.
Sites, in units of the cell vectors:
La 0.0000 0.0000 0.0000  4 Rh 3.02, 4 Ga 3.28
La 0.1431 0.6810 0.2902  6 Rh 3.17-3.39, 8 Ga 3.24-3.51
La 0.8569 0.3190 0.7098  6 Rh 3.17-3.39, 8 Ga 3.24-3.51
Ga 0.2530 0.2425 0.5035  4 Rh 2.51-2.56
Ga 0.4030 0.8498 0.8034  3 Rh 2.50-2.52
Ga 0.5970 0.1502 0.1966  3 Rh 2.50-2.52
Ga 0.7470 0.7575 0.4965  4 Rh 2.51-2.56
Rh 0.3012 0.7682 0.6059  5 Ga 2.51-2.56
Rh 0.4490 0.3725 0.8980  2 Ga 2.50-2.52, 1 Rh 2.73
Rh 0.5510 0.6275 0.1020  2 Ga 2.50-2.52, 1 Rh 2.73
Rh 0.6988 0.2318 0.3941  5 Ga 2.51-2.56

## Properties
As for the energy of formation from the pure elements: -760 meV/atom.

=====

A plane-wave DFT calculation with PBE was carried out for ZrCoN after structural relaxation.

a = 4.3165 Å, b = 5.2795 Å, c = 5.2795 Å
α = 38.59°, β = 90.00°, γ = 90.00°
Last column: nearest neighbours and their distance in Å.
Sites, in units of the cell vectors:
Zr 0.0000 0.0000 0.0000  3 N 2.23-2.37
Zr 0.5000 0.2878 0.2878  4 N 2.21-2.33
Co 0.0000 0.7000 0.7000  2 N 1.79
Co 0.5000 0.5470 0.5470  2 N 2.03
N 0.0000 0.2383 0.2383  2 Co 1.79
N 0.5000 0.9435 0.9435  2 Co 2.03, 2 Zr 2.23

## Properties
As for the energy relative to the elements, uncorrected: -0.784 eV/atom.

=====

How do the records compare in density of states at the Fermi level? In the order shown, they have 1.718 0.700 0.559 states/eV/atom.